{"formula": "Dy2GeSb", "functional": "PBE", "state": "relaxed", "cell": [[4.189, 0.000, 0.000], [2.095, 3.628, 0.000], [2.095, 1.209, 7.205]], "species": ["Sb", "Dy", "Dy", "Ge"], "fractional_positions": [[0.500, 0.500, 0.500], [0.745, 0.745, 0.765], [0.255, 0.255, 0.235], [0.000, 0.000, 0.000]], "e_tot_ev_per_cell": -21.49, "n_ef_per_ev_cell": 2.2, "polymorph_energy_ev_per_atom": 0.058, "formation_energy_uncorrected_ev_per_atom": -0.89}

{"formula": "Dy6Ge2SbSe3", "functional": "PBE", "state": "relaxed", "cell": [[4.174, 0.000, 0.000], [0.000, 8.353, 0.333], [-2.087, -2.374, 8.762]], "species": ["Dy", "Dy", "Dy", "Dy", "Dy", "Se", "Sb", "Se", "Dy", "Ge", "Se", "Ge"], "fractional_positions": [[0.994, 0.740, 0.989], [0.006, 0.260, 0.011], [0.329, 0.901, 0.659], [0.330, 0.423, 0.659], [0.671, 0.099, 0.341], [0.500, 0.500, 0.000], [0.500, 0.000, 0.000], [0.165, 0.834, 0.329], [0.670, 0.577, 0.341], [0.167, 0.335, 0.334], [0.835, 0.166, 0.671], [0.833, 0.665, 0.666]], "e_tot_ev_per_cell": -68.46, "n_ef_per_ev_cell": 2.1, "formation_energy_uncorrected_ev_per_atom": -1.42}